Y2Al2Tl (meta-GGA SCAN, single point on PBEsol structure); space group = P4/mbm, No. 127; ΔH_f (0 K) = -0.52 eV/atom; total DFT energy (no corrections) = -292.34 eV per cell
1.0
4.514 0.000 0.000
0.000 7.164 0.000
0.000 0.000 7.164
Y Tl Al
4 2 4
Direct
0.500 0.169 0.669
0.500 0.669 0.831
0.500 0.831 0.331
0.500 0.331 0.169
0.000 0.000 0.000
0.000 0.500 0.500
0.000 0.372 0.872
0.000 0.872 0.628
0.000 0.628 0.128
0.000 0.128 0.372


AlTl3Zn (meta-GGA SCAN, single point on PBEsol structure); space group = Pm-3m, No. 221; ΔH_f (0 K) = 0.47 eV/atom; total DFT energy (no corrections) = -235.98 eV per cell
1.0
5.213 0.000 0.000
0.000 5.213 0.000
0.000 0.000 5.213
Tl Zn Al
3 1 1
Direct
0.000 0.500 0.000
0.000 0.000 0.500
0.500 0.000 0.000
0.000 0.000 0.000
0.500 0.500 0.500


Al2TlZn (meta-GGA SCAN, single point on PBEsol structure); space group = Imm2, No. 44; offset from the most stable computed form = 83 meV per atom; ΔH_f (0 K) = 0.29 eV/atom; total DFT energy (no corrections) = -100.21 eV per cell
1.0
-2.583 1.491 0.763
-2.785 -3.741 -2.112
2.591 -1.255 5.011
Tl Zn Al
1 1 2
Direct
0.508 0.508 0.017
0.270 0.770 0.541
0.991 0.991 0.982
0.730 0.230 0.460